This record from the Alexandria database describes InBAsSe2 after structural relaxation. The functional is PBE.

Output
Energy above the most stable polymorph in this dataset = 0.933 eV/atom
Formation energy without anion corrections = 1.466 eV/atom
N(E_F) = 4.2 states/eV per cell
E = -2.741 eV/atom
Space group = No. 123
Spin magnetization = 0.221 μB per atom

Cell lengths 5.3694, 5.3694, 5.3410 Å; angles 90.00, 90.00, 90.00 degrees
Fractional positions:
In (0.0000, 0.0000, 0.0000)
As (0.0000, 0.0000, 0.5000)
Se (0.0000, 0.5000, 0.0000)
Se (0.5000, 0.0000, 0.0000)
B (0.5000, 0.5000, 0.5000)


This record from the Alexandria database describes NaSmEr2Se4 after structural relaxation. The functional is PBE.

Output
Formation energy without anion corrections = -1.728 eV/atom
N(E_F) = 2.5 states/eV per cell
E = -5.366 eV/atom
Space group = No. 10
Spin magnetization = 0.000 μB per atom

Cell lengths 4.0693, 7.1592, 7.1327 Å; angles 71.12, 90.00, 90.00 degrees
Fractional positions:
Er (0.0000, 0.0000, 0.0000)
Se (0.0000, 0.7596, 0.7437)
Se (0.5000, 0.2387, 0.7534)
Er (0.5000, 0.0000, 0.5000)
Na (0.0000, 0.5000, 0.5000)
Sm (0.5000, 0.5000, 0.0000)
Se (0.0000, 0.2404, 0.2563)
Se (0.5000, 0.7613, 0.2466)